(1)
A geometry-optimized CeZrZnMo structure, computed with GGA-PBE.

Values from the calculation:
Space group: No. 216
ΔH_f (0 K) in meV per atom: 33
Calculated total energy in eV/atom: -6.6138
Size of the total moment in μB per formula unit: 0.00
Calculated volume in A^3/atom: 20.5

Cell lengths 4.8764, 4.8764, 4.8764 Å; angles 60.00, 60.00, 60.00 degrees
Positions (direct):
Ce (0.0000, 0.0000, 0.0000)
Zr (0.5000, 0.5000, 0.5000)
Zn (0.2500, 0.2500, 0.2500)
Mo (0.7500, 0.7500, 0.7500)



(2)
A geometry-optimized CeZr2Mo structure, computed with GGA-PBE.

Values from the calculation:
Space group: No. 166
ΔH_f (0 K) in meV per atom: 255
Energy relative to the lowest polymorph listed for this composition in eV per atom: 0.191
Calculated total energy in eV/atom: -8.2102
Size of the total moment in μB per formula unit: 0.00
Calculated volume in A^3/atom: 22.7

Cell lengths 10.4203, 10.4203, 10.4203 Å; angles 17.64, 17.64, 17.64 degrees
Positions (direct):
Ce (0.0000, 0.0000, 0.0000)
Zr (0.0992, 0.0992, 0.0992)
Zr (0.9008, 0.9008, 0.9008)
Mo (0.5000, 0.5000, 0.5000)



(3)
A geometry-optimized CeZr2Mo structure, computed with GGA-PBE.

Values from the calculation:
Space group: No. 123
ΔH_f (0 K) in meV per atom: 64
Energy relative to the lowest polymorph listed for this composition in eV per atom: 0.000
Calculated total energy in eV/atom: -8.4015
Size of the total moment in μB per formula unit: 0.27
Calculated volume in A^3/atom: 22.3

Cell lengths 3.3805, 3.3805, 7.7915 Å; angles 90.00, 90.00, 90.00 degrees
Positions (direct):
Ce (0.0000, 0.0000, 0.0000)
Zr (0.5000, 0.5000, 0.2955)
Zr (0.5000, 0.5000, 0.7045)
Mo (0.0000, 0.0000, 0.5000)



(4)
A geometry-optimized CeZrMo4 structure, computed with GGA-PBE.

Values from the calculation:
Space group: No. 216
ΔH_f (0 K) in meV per atom: 85
Calculated total energy in eV/atom: -9.5494
Size of the total moment in μB per formula unit: 0.00
Calculated volume in A^3/atom: 19.3

Cell lengths 5.4727, 5.4727, 5.4727 Å; angles 60.00, 60.00, 60.00 degrees
Positions (direct):
Ce (0.0000, 0.0000, 0.0000)
Zr (0.7500, 0.7500, 0.7500)
Mo (0.3750, 0.3750, 0.3750)
Mo (0.3750, 0.3750, 0.8750)
Mo (0.3750, 0.8750, 0.3750)
Mo (0.8750, 0.3750, 0.3750)



(5)
A geometry-optimized Ce3N2 structure, computed with GGA-PBE.

Values from the calculation:
Space group: No. 12
Calculated total energy in eV/atom: -7.9937
Size of the total moment in μB per formula unit: 1.07
Uncorrected formation energy in eV/atom: -1.10
Calculated volume in A^3/atom: 19.0

Cell lengths 9.4618, 9.4618, 9.0328 Å; angles 102.88, 102.88, 21.25 degrees
Positions (direct):
Ce (0.0000, 0.0000, 0.0000)
Ce (0.0781, 0.0781, 0.6773)
Ce (0.2550, 0.2550, 0.3366)
Ce (0.3400, 0.3400, 0.9994)
Ce (0.4058, 0.4058, 0.6673)
Ce (0.5942, 0.5942, 0.3327)
Ce (0.6600, 0.6600, 0.0006)
Ce (0.7450, 0.7450, 0.6634)
Ce (0.9219, 0.9219, 0.3227)
N (0.1268, 0.1268, 0.1612)
N (0.1685, 0.1685, 0.5141)
N (0.4648, 0.4648, 0.1729)
N (0.5352, 0.5352, 0.8271)
N (0.8315, 0.8315, 0.4859)
N (0.8732, 0.8732, 0.8388)



(6)
A geometry-optimized CeN structure, computed with GGA-PBE.

Values from the calculation:
Space group: No. 225
Calculated total energy in eV/atom: -8.6288
Size of the total moment in μB per formula unit: 0.26
Uncorrected formation energy in eV/atom: -1.50
Calculated volume in A^3/atom: 16.1

Cell lengths 3.5701, 3.5701, 3.5701 Å; angles 60.00, 60.00, 60.00 degrees
Positions (direct):
Ce (0.0000, 0.0000, 0.0000)
N (0.5000, 0.5000, 0.5000)



(7)
A geometry-optimized Ce3N structure, computed with GGA-PBE.

Values from the calculation:
Space group: No. 44
Energy relative to the lowest polymorph listed for this composition in eV per atom: 0.255
Calculated total energy in eV/atom: -6.9565
Size of the total moment in μB per formula unit: 0.00
Uncorrected formation energy in eV/atom: -0.42
Calculated volume in A^3/atom: 20.8

Cell lengths 5.5327, 5.5327, 5.5327 Å; angles 145.78, 73.60, 117.10 degrees
Positions (direct):
Ce (0.0000, 0.0000, 0.0000)
Ce (0.2918, 0.4696, 0.8223)
Ce (0.6473, 0.4696, 0.1777)
N (0.6916, 0.1916, 0.5000)



(8)
A geometry-optimized Ce2N structure, computed with GGA-PBE.

Values from the calculation:
Space group: No. 164
Calculated total energy in eV/atom: -7.5620
Size of the total moment in μB per formula unit: 0.83
Uncorrected formation energy in eV/atom: -0.83
Calculated volume in A^3/atom: 17.7

Cell lengths 3.5287, 3.5287, 4.9193 Å; angles 90.00, 90.00, 120.00 degrees
Positions (direct):
Ce (0.3333, 0.6667, 0.2938)
Ce (0.6667, 0.3333, 0.7062)
N (0.0000, 0.0000, 0.0000)



(9)
A geometry-optimized Ce2N structure, computed with GGA-PBE.

Values from the calculation:
Space group: No. 123
Calculated total energy in eV/atom: -7.6664
Size of the total moment in μB per formula unit: 0.00
Uncorrected formation energy in eV/atom: -0.94
Calculated volume in A^3/atom: 20.3

Cell lengths 3.5596, 3.5596, 4.8164 Å; angles 90.00, 90.00, 90.00 degrees
Positions (direct):
Ce (0.0000, 0.0000, 0.0000)
Ce (0.5000, 0.5000, 0.5000)
N (0.0000, 0.0000, 0.5000)



(10)
A geometry-optimized Ce5N4 structure, computed with GGA-PBE.

Values from the calculation:
Space group: No. 87
Calculated total energy in eV/atom: -8.3046
Size of the total moment in μB per formula unit: 0.00
Uncorrected formation energy in eV/atom: -1.31
Calculated volume in A^3/atom: 17.5

Cell lengths 6.1334, 6.1334, 6.1334 Å; angles 99.74, 99.74, 131.43 degrees
Positions (direct):
Ce (0.0000, 0.0000, 0.0000)
Ce (0.1965, 0.3980, 0.5945)
Ce (0.3980, 0.8035, 0.2014)
Ce (0.6020, 0.1965, 0.7986)
Ce (0.8035, 0.6020, 0.4055)
N (0.0939, 0.6980, 0.7919)
N (0.3020, 0.0939, 0.3960)
N (0.6980, 0.9061, 0.6040)
N (0.9061, 0.3020, 0.2081)



(11)
A geometry-optimized Ce3N structure, computed with GGA-PBE.

Values from the calculation:
Space group: No. 25
Energy relative to the lowest polymorph listed for this composition in eV per atom: 0.253
Calculated total energy in eV/atom: -6.9582
Size of the total moment in μB per formula unit: 0.01
Uncorrected formation energy in eV/atom: -0.43
Calculated volume in A^3/atom: 21.6

Cell lengths 3.1299, 3.2903, 8.4086 Å; angles 90.00, 90.00, 90.00 degrees
Positions (direct):
Ce (0.0000, 0.0000, 0.0000)
Ce (0.0000, 0.5000, 0.3452)
Ce (0.5000, 0.0000, 0.6528)
N (0.5000, 0.5000, 0.1202)



(12)
A geometry-optimized Ce2N3 structure, computed with GGA-PBE.

Values from the calculation:
Space group: No. 63
Calculated total energy in eV/atom: -8.1832
Size of the total moment in μB per formula unit: 0.00
Uncorrected formation energy in eV/atom: -0.81
Calculated volume in A^3/atom: 14.2

Cell lengths 6.4246, 6.4246, 7.0176 Å; angles 90.00, 90.00, 150.73 degrees
Positions (direct):
Ce (0.0000, 0.0000, 0.0000)
Ce (0.0000, 0.0000, 0.5000)
Ce (0.2568, 0.7432, 0.7500)
Ce (0.7432, 0.2568, 0.2500)
N (0.3384, 0.6616, 0.0682)
N (0.3384, 0.6616, 0.4318)
N (0.4568, 0.5432, 0.7500)
N (0.5432, 0.4568, 0.2500)
N (0.6616, 0.3384, 0.5682)
N (0.6616, 0.3384, 0.9318)



(13)
A geometry-optimized Ce4N structure, computed with GGA-PBE.

Values from the calculation:
Space group: No. 221
Calculated total energy in eV/atom: -6.9320
Size of the total moment in μB per formula unit: 0.01
Uncorrected formation energy in eV/atom: -0.52
Calculated volume in A^3/atom: 23.4

Cell lengths 4.8887, 4.8887, 4.8887 Å; angles 90.00, 90.00, 90.00 degrees
Positions (direct):
Ce (0.0000, 0.0000, 0.0000)
Ce (0.0000, 0.5000, 0.5000)
Ce (0.5000, 0.0000, 0.5000)
Ce (0.5000, 0.5000, 0.0000)
N (0.5000, 0.5000, 0.5000)



(14)
A geometry-optimized Ce3N structure, computed with GGA-PBE.

Values from the calculation:
Space group: No. 139
Energy relative to the lowest polymorph listed for this composition in eV per atom: 0.000
Calculated total energy in eV/atom: -7.2115
Size of the total moment in μB per formula unit: 0.00
Uncorrected formation energy in eV/atom: -0.68
Calculated volume in A^3/atom: 22.2

Cell lengths 7.4624, 7.4624, 7.4624 Å; angles 152.42, 152.42, 39.40 degrees
Positions (direct):
Ce (0.0000, 0.0000, 0.0000)
Ce (0.3332, 0.3332, 0.0000)
Ce (0.6668, 0.6668, 0.0000)
N (0.5000, 0.5000, 0.0000)



(15)
A geometry-optimized Ce5N structure, computed with GGA-PBE.

Values from the calculation:
Space group: No. 65
Calculated total energy in eV/atom: -6.5087
Size of the total moment in μB per formula unit: 0.40
Uncorrected formation energy in eV/atom: -0.18
Calculated volume in A^3/atom: 23.3

Cell lengths 8.3395, 8.3395, 3.2198 Å; angles 90.00, 90.00, 141.36 degrees
Positions (direct):
Ce (0.0000, 0.0000, 0.0000)
Ce (0.2060, 0.7940, 0.5000)
Ce (0.3902, 0.6098, 0.0000)
Ce (0.6098, 0.3902, 0.0000)
Ce (0.7940, 0.2060, 0.5000)
N (0.5000, 0.5000, 0.5000)



(16)
A geometry-optimized Ce5N6 structure, computed with GGA-PBE.

Values from the calculation:
Space group: No. 12
Calculated total energy in eV/atom: -8.5467
Size of the total moment in μB per formula unit: 2.22
Uncorrected formation energy in eV/atom: -1.31
Calculated volume in A^3/atom: 17.7

Cell lengths 6.1782, 6.1782, 6.1813 Å; angles 99.69, 99.69, 119.00 degrees
Positions (direct):
Ce (0.0000, 0.0000, 0.0000)
Ce (0.1697, 0.8303, 0.5000)
Ce (0.3407, 0.6593, 0.0000)
Ce (0.6593, 0.3407, 0.0000)
Ce (0.8303, 0.1697, 0.5000)
N (0.0233, 0.4071, 0.2293)
N (0.1994, 0.1994, 0.7594)
N (0.4071, 0.0233, 0.2293)
N (0.5929, 0.9767, 0.7707)
N (0.8006, 0.8006, 0.2406)
N (0.9767, 0.5929, 0.7707)



(17)
A geometry-optimized NaCe2N structure, computed with GGA-PBE.

Values from the calculation:
Space group: No. 166
Calculated total energy in eV/atom: -5.9651
Size of the total moment in μB per formula unit: 2.09
Uncorrected formation energy in eV/atom: -0.59
Calculated volume in A^3/atom: 26.3

Cell lengths 10.3807, 10.3807, 10.3807 Å; angles 19.15, 19.15, 19.15 degrees
Positions (direct):
Na (0.0000, 0.0000, 0.0000)
Ce (0.1205, 0.1205, 0.1205)
Ce (0.8795, 0.8795, 0.8795)
N (0.5000, 0.5000, 0.5000)



(18)
A geometry-optimized NaCeN structure, computed with GGA-PBE.

Values from the calculation:
Space group: No. 11
Energy relative to the lowest polymorph listed for this composition in eV per atom: 0.009
Calculated total energy in eV/atom: -5.8184
Size of the total moment in μB per formula unit: 0.59
Uncorrected formation energy in eV/atom: -0.63
Calculated volume in A^3/atom: 24.2

Cell lengths 4.7480, 4.7610, 6.4296 Å; angles 90.00, 90.07, 90.00 degrees
Positions (direct):
Na (0.2503, 0.2500, 0.0469)
Na (0.7497, 0.7500, 0.9531)
Ce (0.2498, 0.7500, 0.4983)
Ce (0.7502, 0.2500, 0.5017)
N (0.2509, 0.2500, 0.4415)
N (0.7491, 0.7500, 0.5585)



(19)
A geometry-optimized NaCeN structure, computed with GGA-PBE.

Values from the calculation:
Space group: No. 8
Energy relative to the lowest polymorph listed for this composition in eV per atom: 0.000
Calculated total energy in eV/atom: -5.8276
Size of the total moment in μB per formula unit: 0.86
Uncorrected formation energy in eV/atom: -0.63
Calculated volume in A^3/atom: 23.7

Cell lengths 3.6103, 3.6103, 12.7671 Å; angles 98.14, 98.14, 60.02 degrees
Positions (direct):
Na (0.0000, 0.0000, 0.0000)
Na (0.7428, 0.7428, 0.2557)
Ce (0.1498, 0.1498, 0.4751)
Ce (0.2600, 0.2600, 0.7808)
N (0.4583, 0.4583, 0.4005)
N (0.6182, 0.6182, 0.8556)



(20)
A geometry-optimized NaCeNb4N8 structure, computed with GGA-PBE.

Values from the calculation:
Space group: No. 160
Calculated total energy in eV/atom: -8.9211
Size of the total moment in μB per formula unit: 0.00
Uncorrected formation energy in eV/atom: -0.77
Calculated volume in A^3/atom: 13.4

Cell lengths 6.4246, 6.4246, 6.4246 Å; angles 60.02, 60.02, 60.02 degrees
Positions (direct):
Na (0.0000, 0.0000, 0.0000)
Ce (0.4028, 0.4028, 0.4028)
Nb (0.0130, 0.0130, 0.4940)
Nb (0.0130, 0.4940, 0.0130)
Nb (0.4940, 0.0130, 0.0130)
Nb (0.6300, 0.6300, 0.6300)
N (0.2485, 0.2485, 0.8148)
N (0.2485, 0.8148, 0.2485)
N (0.2492, 0.2492, 0.2492)
N (0.2579, 0.7352, 0.7352)
N (0.7352, 0.2579, 0.7352)
N (0.7352, 0.7352, 0.2579)
N (0.7629, 0.7629, 0.7629)
N (0.8148, 0.2485, 0.2485)